An optimized crystal structure of K2TiNb. Source: the Alexandria database, functional GGA-PBE.

Results
Energy of formation from the pure elements: 1456 meV per atom

Unit cell a=12.8831 b=12.8831 c=4.6161 alpha=90.00 beta=90.00 gamma=90.00
Closest atoms and distances in Å follow each position.
Space group I-42d (No. 122)
One atom of each set of equivalent atoms:
K 0.1027 0.2500 0.1250 x8  2 Ti 3.53, 2 Nb 3.89
Ti 0.0000 0.0000 0.0000 x4  2 Nb 2.31
Nb 0.0000 0.0000 0.5000 x4  2 Ti 2.31

***

An optimized crystal structure of CuGeO3. Source: the Alexandria database, functional GGA-PBE.

Results
Uncorrected formation energy: -0.61 eV per atom

Unit cell a=3.6870 b=3.6870 c=3.6870 alpha=90.00 beta=90.00 gamma=90.00
Closest atoms and distances in Å follow each position.
Space group Pm-3m (No. 221)
One atom of each set of equivalent atoms:
Cu 0.0000 0.0000 0.0000 x1  12 O 2.61
Ge 0.5000 0.5000 0.5000 x1  6 O 1.84
O 0.0000 0.5000 0.5000 x3  2 Ge 1.84

***

An optimized crystal structure of Sc3BRu. Source: the Alexandria database, functional GGA-PBE.

Results
Energy of formation from the pure elements: 43 meV per atom

Unit cell a=4.5343 b=4.5343 c=4.5343 alpha=90.00 beta=90.00 gamma=90.00
Closest atoms and distances in Å follow each position.
Space group Pm-3m (No. 221)
One atom of each set of equivalent atoms:
Sc 0.0000 0.0000 0.5000 x3  2 B 2.27
B 0.0000 0.0000 0.0000 x1  6 Sc 2.27
Ru 0.5000 0.5000 0.5000 x1  12 Sc 3.21

***

An optimized crystal structure of Pr2SbCl. Source: the Alexandria database, functional GGA-PBE.

Results
Uncorrected formation energy: -1.24 eV per atom

Unit cell a=4.3133 b=4.3133 c=22.9943 alpha=90.00 beta=90.00 gamma=120.00
Closest atoms and distances in Å follow each position.
Space group R3m (No. 160, hexagonal axes)
One atom of each set of equivalent atoms:
Pr 0.0000 0.0000 0.0000 x3  3 Sb 3.07, 3 Cl 3.18
Pr 0.0000 0.0000 0.1759 x3  3 Sb 3.09, 3 Cl 3.24
Sb 0.0000 0.0000 0.5887 x3  6 Pr 3.07-3.09
Cl 0.0000 0.0000 0.4194 x3  6 Pr 3.18-3.24

***

An optimized crystal structure of LiCe2SmHg4. Source: the Alexandria database, functional GGA-PBE.

Results
Energy of formation from the pure elements: -344 meV per atom

Unit cell a=5.2759 b=5.2759 c=26.1721 alpha=90.00 beta=90.00 gamma=120.00
Closest atoms and distances in Å follow each position.
Space group R-3m (No. 166, hexagonal axes)
One atom of each set of equivalent atoms:
Li 0.0000 0.0000 0.0000 x3  8 Hg 3.19-3.22
Ce 0.0000 0.0000 0.2530 x6  8 Hg 3.15-3.43
Sm 0.0000 0.0000 0.5000 x3  8 Hg 3.26-3.31
Hg 0.0000 0.0000 0.1220 x6  1 Li 3.19, 4 Ce 3.24-3.43, 3 Sm 3.26
Hg 0.0000 0.0000 0.3735 x6  4 Ce 3.15-3.22, 3 Li 3.22, 1 Sm 3.31

***

An optimized crystal structure of Dy5Tm3S8. Source: the Alexandria database, functional GGA-PBE.

Results
Uncorrected formation energy: -1.97 eV per atom

Unit cell a=7.7600 b=7.7600 c=19.0375 alpha=90.00 beta=90.00 gamma=120.00
Closest atoms and distances in Å follow each position.
Space group R-3m (No. 166, hexagonal axes)
One atom of each set of equivalent atoms:
Dy 0.0000 0.0000 0.0000 x3  6 S 2.75
Dy 0.0000 0.0000 0.5000 x3  6 S 2.75
Dy 0.0000 0.5000 0.0000 x9  6 S 2.77
Tm 0.0000 0.5000 0.5000 x9  6 S 2.72
S 0.0000 0.0000 0.2478 x6  3 Tm 2.72, 3 Dy 2.77
S 0.0030 0.5015 0.7515 x18  2 Tm 2.72, 4 Dy 2.75-2.77

***

An optimized crystal structure of Pu3Ga2Pb. Source: the Alexandria database, functional GGA-PBE.

Results
Energy of formation from the pure elements: -194 meV per atom

Unit cell a=3.9983 b=3.9983 c=9.0192 alpha=90.00 beta=90.00 gamma=90.00
Closest atoms and distances in Å follow each position.
Space group P4/mmm (No. 123)
One atom of each set of equivalent atoms:
Pu 0.0000 0.0000 0.0000 x1  2 Pu 2.87, 8 Ga 3.15
Pu 0.0000 0.0000 0.3180 x2  1 Pu 2.87, 4 Ga 3.19
Ga 0.5000 0.5000 0.1543 x2  1 Ga 2.78, 1 Pb 3.12
Pb 0.5000 0.5000 0.5000 x1  2 Ga 3.12, 8 Pu 3.27